No. 1
# PbO (PBE-GGA, optimized geometry)
data_PbO
_chemical_formula_sum 'Pb4 O4'
_cell_length_a 5.5520
_cell_length_b 5.5520
_cell_length_c 5.1308
_cell_angle_alpha 90.00
_cell_angle_beta 90.00
_cell_angle_gamma 90.00
_symmetry_space_group_name_H-M 'P 1'
_symmetry_Int_Tables_number 1
_symmetry_space_group_name_Hall 'P 1'
loop_
_atom_site_label
_atom_site_type_symbol
_atom_site_fract_x
_atom_site_fract_y
_atom_site_fract_z
_atom_site_occupancy
O1 O 0.3012 0.6988 0.0000 1
Pb1 Pb 0.2757 0.2757 0.0000 1
Pb2 Pb 0.2243 0.7757 0.5000 1
Pb3 Pb 0.7243 0.7243 0.0000 1
Pb4 Pb 0.7757 0.2243 0.5000 1
O2 O 0.1988 0.1988 0.5000 1
O3 O 0.6988 0.3012 0.0000 1
O4 O 0.8012 0.8012 0.5000 1
# ΔE_f (raw)	-968	meV/atom
# total magnetic moment	0.0	μB/f.u.
# crystal system	tetragonal

=====

No. 2
# PbO (PBE-GGA, optimized geometry)
data_PbO
_chemical_formula_sum 'Pb8 O8'
_cell_length_a 5.4270
_cell_length_b 5.6120
_cell_length_c 10.9060
_cell_angle_alpha 90.00
_cell_angle_beta 90.00
_cell_angle_gamma 90.00
_symmetry_space_group_name_H-M 'P 1'
_symmetry_Int_Tables_number 1
_symmetry_space_group_name_Hall 'P 1'
loop_
_atom_site_label
_atom_site_type_symbol
_atom_site_fract_x
_atom_site_fract_y
_atom_site_fract_z
_atom_site_occupancy
Pb1 Pb 0.7500 0.0488 0.7509 1
O1 O 0.6437 0.1282 0.9516 1
Pb2 Pb 0.7589 0.5050 0.9984 1
O2 O 0.8564 0.8718 0.4516 1
O3 O 0.3564 0.6282 0.5484 1
Pb3 Pb 0.2589 0.9950 0.0016 1
O4 O 0.8621 0.4397 0.7006 1
Pb4 Pb 0.2500 0.4512 0.2491 1
Pb5 Pb 0.2411 0.0050 0.5016 1
Pb6 Pb 0.7411 0.4950 0.4984 1
O5 O 0.1436 0.3718 0.0484 1
O6 O 0.3621 0.0603 0.2994 1
Pb7 Pb 0.7500 0.9512 0.2509 1
O7 O 0.1379 0.9397 0.7994 1
Pb8 Pb 0.2500 0.5488 0.7491 1
O8 O 0.6379 0.5603 0.2006 1
# DOS(E_F)	0.0	states/eV per cell
# ΔE_f (raw)	-1059	meV/atom
# total magnetic moment	0.0	μB/f.u.
# crystal system	orthorhombic

=====

No. 3
# Pb2O3 (PBE-GGA, optimized geometry)
data_Pb2O3
_chemical_formula_sum 'Pb4 O6'
_cell_length_a 6.0178
_cell_length_b 6.0178
_cell_length_c 6.4005
_cell_angle_alpha 61.96
_cell_angle_beta 61.96
_cell_angle_gamma 60.00
_symmetry_space_group_name_H-M 'P 1'
_symmetry_Int_Tables_number 1
_symmetry_space_group_name_Hall 'P 1'
loop_
_atom_site_label
_atom_site_type_symbol
_atom_site_fract_x
_atom_site_fract_y
_atom_site_fract_z
_atom_site_occupancy
Pb1 Pb 0.3565 0.3565 0.9306 1
Pb2 Pb 0.6435 0.6435 0.0694 1
O1 O 0.2500 0.5462 0.2500 1
Pb3 Pb 0.1435 0.1435 0.5694 1
O2 O 0.4538 0.0462 0.7500 1
Pb4 Pb 0.8565 0.8565 0.4306 1
O3 O 0.9538 0.2500 0.2500 1
O4 O 0.5462 0.9538 0.2500 1
O5 O 0.0462 0.7500 0.7500 1
O6 O 0.7500 0.4538 0.7500 1
# DOS(E_F)	7.0	states/eV per cell
# ΔE_f (raw)	-851	meV/atom
# total magnetic moment	0.0	μB/f.u.
# crystal system	trigonal

=====

No. 4
# PbO (PBE-GGA, optimized geometry)
data_PbO
_chemical_formula_sum 'Pb6 O6'
_cell_length_a 3.6269
_cell_length_b 4.8388
_cell_length_c 14.0438
_cell_angle_alpha 90.00
_cell_angle_beta 90.00
_cell_angle_gamma 90.00
_symmetry_space_group_name_H-M 'P 1'
_symmetry_Int_Tables_number 1
_symmetry_space_group_name_Hall 'P 1'
loop_
_atom_site_label
_atom_site_type_symbol
_atom_site_fract_x
_atom_site_fract_y
_atom_site_fract_z
_atom_site_occupancy
Pb1 Pb 0.5000 0.2695 0.0000 1
O1 O 0.0000 0.5910 0.0000 1
O2 O 0.5000 0.0316 0.1582 1
Pb2 Pb 0.5000 0.2564 0.3264 1
Pb3 Pb 0.5000 0.2564 0.6736 1
O3 O 0.0000 0.9684 0.6582 1
O4 O 0.5000 0.4090 0.5000 1
O5 O 0.0000 0.9684 0.3418 1
O6 O 0.5000 0.0316 0.8418 1
Pb4 Pb 0.0000 0.7436 0.1736 1
Pb5 Pb 0.0000 0.7305 0.5000 1
Pb6 Pb 0.0000 0.7436 0.8264 1
# ΔE_f (raw)	-989	meV/atom
# total magnetic moment	0.0	μB/f.u.
# crystal system	orthorhombic

=====

No. 5
# PbO (PBE-GGA, optimized geometry)
data_PbO
_chemical_formula_sum 'Pb6 O6'
_cell_length_a 8.3326
_cell_length_b 8.3326
_cell_length_c 4.7240
_cell_angle_alpha 90.00
_cell_angle_beta 90.00
_cell_angle_gamma 120.00
_symmetry_space_group_name_H-M 'P 1'
_symmetry_Int_Tables_number 1
_symmetry_space_group_name_Hall 'P 1'
loop_
_atom_site_label
_atom_site_type_symbol
_atom_site_fract_x
_atom_site_fract_y
_atom_site_fract_z
_atom_site_occupancy
O1 O 0.6420 0.0782 0.2500 1
O2 O 0.3580 0.9218 0.7500 1
O3 O 0.4362 0.3580 0.2500 1
O4 O 0.9218 0.5638 0.2500 1
Pb1 Pb 0.6399 0.9554 0.7500 1
O5 O 0.0782 0.4362 0.7500 1
Pb2 Pb 0.6846 0.6399 0.2500 1
O6 O 0.5638 0.6420 0.7500 1
Pb3 Pb 0.3154 0.3601 0.7500 1
Pb4 Pb 0.9554 0.3154 0.2500 1
Pb5 Pb 0.0446 0.6846 0.7500 1
Pb6 Pb 0.3601 0.0446 0.2500 1
# DOS(E_F)	0.0	states/eV per cell
# ΔE_f (raw)	-1001	meV/atom
# total magnetic moment	0.0	μB/f.u.
# crystal system	hexagonal

=====

No. 6
# Pd2PbO6 (PBE-GGA, optimized geometry)
data_Pd2PbO6
_chemical_formula_sum 'Pd2 Pb1 O6'
_cell_length_a 4.6896
_cell_length_b 5.2680
_cell_length_c 5.2680
_cell_angle_alpha 120.00
_cell_angle_beta 90.00
_cell_angle_gamma 90.00
_symmetry_space_group_name_H-M 'P 1'
_symmetry_Int_Tables_number 1
_symmetry_space_group_name_Hall 'P 1'
loop_
_atom_site_label
_atom_site_type_symbol
_atom_site_fract_x
_atom_site_fract_y
_atom_site_fract_z
_atom_site_occupancy
O1 O 0.7374 0.3654 0.0000 1
Pd1 Pd 0.5000 0.6667 0.3333 1
O2 O 0.2626 0.6346 0.0000 1
Pd2 Pd 0.5000 0.3333 0.6667 1
O3 O 0.7374 0.6346 0.6346 1
O4 O 0.2626 0.3654 0.3654 1
O5 O 0.2626 0.0000 0.6346 1
Pb1 Pb 0.0000 0.0000 0.0000 1
O6 O 0.7374 0.0000 0.3654 1
# DOS(E_F)	7.2	states/eV per cell
# ΔE_f (raw)	-478	meV/atom
# total magnetic moment	0.0	μB/f.u.
# crystal system	trigonal

=====

No. 7
# Pd2Pb2O7 (PBE-GGA, optimized geometry)
data_Pd2Pb2O7
_chemical_formula_sum 'Pd4 Pb4 O14'
_cell_length_a 7.3977
_cell_length_b 7.3977
_cell_length_c 7.3977
_cell_angle_alpha 60.00
_cell_angle_beta 60.00
_cell_angle_gamma 60.00
_symmetry_space_group_name_H-M 'P 1'
_symmetry_Int_Tables_number 1
_symmetry_space_group_name_Hall 'P 1'
loop_
_atom_site_label
_atom_site_type_symbol
_atom_site_fract_x
_atom_site_fract_y
_atom_site_fract_z
_atom_site_occupancy
Pd1 Pd 0.6250 0.1250 0.1250 1
O1 O 0.2077 0.2077 0.7923 1
O2 O 0.5000 0.5000 0.5000 1
O3 O 0.2077 0.7923 0.2077 1
Pd2 Pd 0.1250 0.1250 0.6250 1
Pb1 Pb 0.6250 0.6250 0.1250 1
O4 O 0.7923 0.2077 0.7923 1
Pb2 Pb 0.6250 0.6250 0.6250 1
Pb3 Pb 0.1250 0.6250 0.6250 1
O5 O 0.7923 0.7923 0.2077 1
O6 O 0.0423 0.4577 0.0423 1
O7 O 0.4577 0.4577 0.0423 1
O8 O 0.7500 0.7500 0.7500 1
O9 O 0.0423 0.0423 0.4577 1
O10 O 0.4577 0.0423 0.4577 1
O11 O 0.7923 0.2077 0.2077 1
Pd3 Pd 0.1250 0.1250 0.1250 1
O12 O 0.4577 0.0423 0.0423 1
O13 O 0.2077 0.7923 0.7923 1
Pd4 Pd 0.1250 0.6250 0.1250 1
Pb4 Pb 0.6250 0.1250 0.6250 1
O14 O 0.0423 0.4577 0.4577 1
# DOS(E_F)	10.6	states/eV per cell
# ΔE_f (raw)	-650	meV/atom
# total magnetic moment	0.0	μB/f.u.
# crystal system	cubic

=====

No. 8
# Pd3PbO (PBE-GGA, optimized geometry)
data_Pd3PbO
_chemical_formula_sum 'Pd3 Pb1 O1'
_cell_length_a 4.3714
_cell_length_b 4.3714
_cell_length_c 4.3714
_cell_angle_alpha 90.00
_cell_angle_beta 90.00
_cell_angle_gamma 90.00
_symmetry_space_group_name_H-M 'P 1'
_symmetry_Int_Tables_number 1
_symmetry_space_group_name_Hall 'P 1'
loop_
_atom_site_label
_atom_site_type_symbol
_atom_site_fract_x
_atom_site_fract_y
_atom_site_fract_z
_atom_site_occupancy
Pb1 Pb 0.5000 0.5000 0.5000 1
Pd1 Pd 0.0000 0.5000 0.0000 1
Pd2 Pd 0.5000 0.0000 0.0000 1
O1 O 0.0000 0.0000 0.0000 1
Pd3 Pd 0.0000 0.0000 0.5000 1
# DOS(E_F)	1.8	states/eV per cell
# excess energy over the best structure of this formula in the dataset	0.000	eV/f.u.
# ΔE_f (raw)	-87	meV/atom
# total magnetic moment	0.0	μB/f.u.
# crystal system	cubic